[1]
Here is an optimized crystal structure of Pm2NdAu3 from the Alexandria database. Energies are from PBE.

The structure belongs to space group Cmmm (No. 65); the cell edges are 5.2560, 15.7753 and 7.3466 Å and the angles 90.00°, 90.00° and 90.00°. The inequivalent atoms are Pm at (0.0000, 0.0000, 0.0000), Pm at (0.0000, 0.0000, 0.5000), Pm at (0.0000, 0.3331, 0.0000), Nd at (0.0000, 0.3335, 0.5000), Au at (0.0000, 0.1658, 0.2469) and Au at (0.0000, 0.5000, 0.2481).

The energy is -4.79 eV/atom.

[2]
Here is an optimized crystal structure of Pm2Nd2Au3 from the Alexandria database. Energies are from PBE.

The structure belongs to space group I2_13 (No. 199); the cell edges are 9.1974, 9.1974 and 9.1974 Å and the angles 90.00°, 90.00° and 90.00°. The inequivalent atoms are Pm at (0.0694, 0.4306, 0.5694), Nd at (0.1798, 0.1798, 0.1798) and Au at (0.0000, 0.2500, 0.8722).

The energy is -4.73 eV/atom.

[3]
Here is an optimized crystal structure of Pm3Nd2Au4 from the Alexandria database. Energies are from PBE.

The structure belongs to space group Cmce (No. 64); the cell edges are 7.4702, 16.2627 and 8.3929 Å and the angles 90.00°, 90.00° and 90.00°. The inequivalent atoms are Pm at (0.0000, 0.0000, 0.0000), Pm at (0.2500, 0.2207, 0.2500), Nd at (0.0000, 0.0952, 0.5946), Au at (0.0000, 0.1887, 0.9614) and Au at (0.2500, 0.0386, 0.2500).

The energy is -4.70 eV/atom.

[4]
Here is an optimized crystal structure of PmNdAu from the Alexandria database. Energies are from PBE.

The structure belongs to space group P3m1 (No. 156); the cell edges are 4.9976, 4.9976 and 3.9460 Å and the angles 90.00°, 90.00° and 120.00°. The inequivalent atoms are Pm at (0.0000, 0.0000, 0.0000), Nd at (0.6667, 0.3333, 0.4449) and Au at (0.3333, 0.6667, 0.7342).

The energy is -4.64 eV/atom.

[5]
Here is an optimized crystal structure of Pm3NdAu3 from the Alexandria database. Energies are from PBE.

The structure belongs to space group C2/m (No. 12); the cell edges are 9.7692, 11.0174 and 7.3807 Å and the angles 90.00°, 91.08° and 90.00°. The inequivalent atoms are Pm at (0.0000, 0.1780, 0.0000), Pm at (0.0000, 0.2514, 0.5000), Pm at (0.1421, 0.5000, 0.8590), Nd at (0.2424, 0.5000, 0.3640), Au at (0.0680, 0.0000, 0.3088) and Au at (0.2434, 0.2481, 0.2285).

The energy is -4.71 eV/atom.

[6]
Here is an optimized crystal structure of PmNd5Au6 from the Alexandria database. Energies are from PBE.

The structure belongs to space group P2/m (No. 10); the cell edges are 5.2747, 7.3705 and 8.3182 Å and the angles 90.00°, 107.97° and 90.00°. The inequivalent atoms are Pm at (0.0000, 0.0000, 0.0000), Nd at (0.0000, 0.5000, 0.0000), Nd at (0.3332, 0.0000, 0.6668), Nd at (0.3329, 0.5000, 0.6661), Au at (0.1662, 0.2491, 0.3313) and Au at (0.5000, 0.2476, 0.0000).

The energy is -4.79 eV/atom.

no.,V (Å³/f.u.)
1,152.29
2,194.51
3,254.90
4,85.35
5,198.56
6,307.61